Ac2CoO5 | GGA+U | optimized geometry

Values from the calculation:
* offset from the most stable computed form: 136 meV/atom

Cell: 5.480 5.480 5.480 Å, 116.60 116.60 95.99°
Element x y z (fractional)
Ac (0.000, 0.500, 0.500)
Ac (0.500, 0.000, 0.500)
Co (0.258, 0.258, 0.000)
O (0.438, 0.438, 0.451)
O (0.438, 0.986, 0.000)
O (0.498, 0.498, 0.000)
O (0.986, 0.438, 0.000)
O (0.986, 0.986, 0.549)